# 1
Below is GdTmFe2Ge2N after structural relaxation, with properties calculated at the GGA-PBE level.

As for the density: 8.97 Mg/m³. As for the energy: -97.38 eV per cell.

The structure belongs to space group Cm (No. 8); the cell edges are 10.614, 3.868 and 6.782 Å and the angles 90.00°, 127.42° and 90.00°. Symmetry generates all atoms from Gd at (0.000, 0.000, 0.000), Tm at (0.115, 0.000, 0.571), Fe at (0.252, 0.500, 0.371), Fe at (0.365, 0.000, 0.205), Ge at (0.218, 0.500, 0.985), Ge at (0.397, 0.000, 0.586) and N at (0.060, 0.500, 0.294).

=====

# 2
Below is NdGdFe2Ge4 after structural relaxation, with properties calculated at the GGA-PBE level.

Its energy above the most stable polymorph in this dataset is 55 meV/atom. As for the density: 7.82 Mg/m³. As for the energy: -96.92 eV per cell.

The structure belongs to space group Amm2 (No. 38); the cell edges are 4.227, 4.229 and 16.720 Å and the angles 90.00°, 90.00° and 90.00°. Symmetry generates all atoms from Nd at (0.000, 0.000, 0.000), Gd at (0.500, 0.000, 0.783), Fe at (0.000, 0.000, 0.210), Fe at (0.500, 0.000, 0.574), Ge at (0.000, 0.000, 0.346), Ge at (0.000, 0.000, 0.643), Ge at (0.500, 0.000, 0.143) and Ge at (0.500, 0.000, 0.437).

=====

# 3
Below is NdGdFe2Ge4 after structural relaxation, with properties calculated at the GGA-PBE level.

Its energy above the most stable polymorph in this dataset is 0 meV/atom. As for the density: 7.91 Mg/m³. As for the energy: -48.90 eV per cell.

The structure belongs to space group Pm (No. 6); the cell edges are 4.388, 4.237 and 8.199 Å and the angles 90.00°, 104.29° and 90.00°. Symmetry generates all atoms from Nd at (0.000, 0.000, 0.000), Gd at (0.751, 0.500, 0.580), Fe at (0.259, 0.000, 0.401), Fe at (0.494, 0.500, 0.181), Ge at (0.060, 0.500, 0.291), Ge at (0.308, 0.000, 0.689), Ge at (0.443, 0.500, 0.891) and Ge at (0.691, 0.000, 0.291).

=====

# 4
Below is PrGdFe2Ge4 after structural relaxation, with properties calculated at the GGA-PBE level.

Its energy above the most stable polymorph in this dataset is 0 meV/atom. As for the density: 7.87 Mg/m³. As for the energy: -48.88 eV per cell.

The structure belongs to space group Pm (No. 6); the cell edges are 4.389, 4.238 and 8.204 Å and the angles 90.00°, 104.30° and 90.00°. Symmetry generates all atoms from Pr at (0.000, 0.000, 0.000), Gd at (0.751, 0.500, 0.580), Fe at (0.259, 0.000, 0.401), Fe at (0.495, 0.500, 0.181), Ge at (0.061, 0.500, 0.292), Ge at (0.309, 0.000, 0.689), Ge at (0.444, 0.500, 0.891) and Ge at (0.692, 0.000, 0.292).

=====

Question: What is the formula in the third record?
Answer: NdGdFe2Ge4

=====

Question: Among the records above, which one has the lowest density?
Answer: number 2

=====

Question: Look up the density of the second one.
Answer: 7.82 Mg/m³